Entry from Alexandria: a geometry-optimized ZrPdC structure (PBE).

Cell: 4.244 3.784 5.814 Å, 90.00 101.85 90.00°
Space group P2/m (No. 10)
Symmetry-distinct sites (fractional):
Zr: 0.177 0.000 0.262
Pd: 0.294 0.500 0.659
C: 0.356 0.000 0.915

ΔH_f (0 K): -280 meV per atom



Entry from Alexandria: a geometry-optimized Zr12Pd6C structure (PBE).

Cell: 10.8416 10.8416 11.7288 Å, 90.00 90.00 120.00°
Space group R-3 (No. 148, hexagonal axes)
Symmetry-distinct sites (fractional):
Zr: 0.0297 0.8452 0.3823
Zr: 0.0340 0.1868 0.8911
Pd: 0.0103 0.6211 0.2476
C: 0.0000 0.0000 0.0000

ΔH_f (0 K): -281 meV per atom



Entry from Alexandria: a geometry-optimized Zr4PdC structure (PBE).

Cell: 6.160 6.052 6.419 Å, 90.00 100.48 90.00°
Space group P2_1/c (No. 14)
Symmetry-distinct sites (fractional):
Zr: 0.104 0.170 0.202
Zr: 0.330 0.642 0.103
Pd: 0.500 0.000 0.000
C: 0.000 0.000 0.500

ΔH_f (0 K): -321 meV per atom



Entry from Alexandria: a geometry-optimized Zr3PdC structure (PBE).

Cell: 3.351 11.836 9.048 Å, 90.00 90.00 90.00°
Space group Cmcm (No. 63)
Symmetry-distinct sites (fractional):
Zr: 0.000 0.056 0.250
Zr: 0.000 0.374 0.058
Pd: 0.000 0.251 0.750
C: 0.000 0.000 0.000

ΔH_f (0 K): -645 meV per atom
ΔE to the lowest computed polymorph: 0 meV per atom



Entry from Alexandria: a geometry-optimized ZrPdC structure (PBE).

Cell: 3.290 3.593 7.539 Å, 97.83 90.00 90.01°
Space group P1 (No. 1)
Symmetry-distinct sites (fractional):
Zr: 0.000 0.000 0.000
Zr: 0.500 0.336 0.382
Pd: 0.000 0.901 0.601
Pd: 0.500 0.450 0.786
C: 0.000 0.528 0.178
C: 0.002 0.833 0.308

ΔH_f (0 K): -323 meV per atom



Entry from Alexandria: a geometry-optimized ZrPdC structure (PBE).

Cell: 3.4366 3.4366 27.0544 Å, 90.00 90.00 120.00°
Space group R-3m (No. 166, hexagonal axes)
Symmetry-distinct sites (fractional):
Zr: 0.0000 0.0000 0.1137
Pd: 0.0000 0.0000 0.3698
C: 0.0000 0.0000 0.2588

ΔH_f (0 K): 68 meV per atom



Entry from Alexandria: a geometry-optimized Zr4PdC2 structure (PBE).

Cell: 3.389 11.350 12.110 Å, 90.00 90.00 90.00°
Space group Cmcm (No. 63)
Symmetry-distinct sites (fractional):
Zr: 0.000 0.000 0.000
Zr: 0.000 0.265 0.107
Zr: 0.000 0.428 0.750
Pd: 0.000 0.110 0.750
C: 0.000 0.364 0.560

ΔH_f (0 K): -671 meV per atom



Entry from Alexandria: a geometry-optimized ZrPdC structure (PBE).

Cell: 3.559 4.148 6.530 Å, 97.29 101.65 105.75°
Space group P-1 (No. 2)
Symmetry-distinct sites (fractional):
Zr: 0.084 0.250 0.325
Pd: 0.381 0.740 0.103
C: 0.367 0.835 0.441

ΔH_f (0 K): -343 meV per atom



Entry from Alexandria: a geometry-optimized ZrPdC structure (PBE).

Cell: 3.264 3.264 4.169 Å, 90.00 90.00 90.00°
Space group P4/mmm (No. 123)
Symmetry-distinct sites (fractional):
Zr: 0.000 0.000 0.000
Pd: 0.500 0.500 0.500
C: 0.500 0.500 0.000

ΔH_f (0 K): -393 meV per atom



Entry from Alexandria: a geometry-optimized ZrPd2C structure (PBE).

Cell: 5.827 5.827 8.327 Å, 90.00 90.00 90.00°
Space group I-42d (No. 122)
Symmetry-distinct sites (fractional):
Zr: 0.000 0.000 0.000
Pd: 0.141 0.250 0.625
C: 0.000 0.000 0.500

ΔH_f (0 K): 430 meV per atom



no.,calculated volume (Å³ per atom),M_tot (μB per formula unit),DOS at the Fermi energy (states/eV/atom)
1,15.2,0.00,0.36
2,20.9,0.00,1.19
3,19.6,0.00,0.96
4,17.9,0.00,0.85
5,14.7,0.00,0.48
6,15.4,0.00,0.97
7,16.6,0.00,0.53
8,14.9,0.00,0.41
9,14.8,0.00,0.53
10,17.7,0.00,0.42